A relaxed PrDy4Hg5 crystal. Source: the Alexandria database, functional PBE.

Properties
N(E_F)	1.00	states/eV per atom
DFT formation energy	-0.48	eV per atom
total magnetic moment	0.9	μB/cell
calculated volume	263.77	Å³/cell

Lattice parameters (Å, degrees): 3.742 3.742 18.832 90.00 90.00 90.00
Site moments in Bohr magnetons follow the coordinates.
Sites, in units of the cell vectors:
Dy: 0.000 0.000 0.402  0.06
Dy: 0.000 0.000 0.205  0.07
Dy: 0.000 0.000 0.598  0.06
Dy: 0.000 0.000 0.795  0.07
Pr: 0.000 0.000 0.000  0.25
Hg: 0.500 0.500 0.889  0.01
Hg: 0.500 0.500 0.696  0.01
Hg: 0.500 0.500 0.500  0.01
Hg: 0.500 0.500 0.111  0.01
Hg: 0.500 0.500 0.304  0.01